A plane-wave DFT calculation with PBE-GGA was carried out for a geometry-optimized ErPuGaNi structure.

Computed properties:
The value obtained for the formation energy is -0.2508 eV per atom. For the total magnetic moment, the calculation gives 5.2 Bohr magnetons per cell. For the total energy, the calculation gives -28.71 eV/f.u.

Cell: 4.9084 4.9084 4.9084 Å, 60.00 60.00 60.00°
Last column: nearest neighbours and their distance in Å.
Positions (direct):
Ni1 0.7500 0.7500 0.7500  4 Er 3.01, 4 Pu 3.01
Er1 0.5000 0.5000 0.5000  4 Ni 3.01, 4 Ga 3.01
Ga1 0.2500 0.2500 0.2500  4 Er 3.01, 4 Pu 3.01
Pu1 0.0000 0.0000 0.0000  4 Ga 3.01, 4 Ni 3.01



A plane-wave DFT calculation with PBE-GGA was carried out for a geometry-optimized SrBiPb2 structure.

Computed properties:
The value obtained for the formation energy is -0.2440 eV per atom. For the total magnetic moment, the calculation gives 0.0 Bohr magnetons per cell. For the total energy, the calculation gives -13.96 eV/f.u.

Cell: 9.3040 9.3040 7.3863 Å, 50.96 50.96 90.00°
Last column: nearest neighbours and their distance in Å.
Positions (direct):
Pb1 0.6569 0.1250 0.2500  2 Bi 3.20, 2 Pb 3.41
Pb2 0.0931 0.6250 0.2500  2 Bi 3.20, 2 Pb 3.41
Pb3 0.3750 0.3431 0.7500  2 Bi 3.20, 2 Pb 3.41
Pb4 0.8750 0.9069 0.7500  2 Bi 3.20, 2 Pb 3.41
Sr1 0.5000 0.5000 0.0000  2 Bi 3.36, 4 Pb 3.60
Sr2 0.2500 0.7500 0.5000  2 Bi 3.36, 4 Pb 3.60
Bi1 0.0000 0.0000 0.0000  4 Pb 3.20, 2 Sr 3.36
Bi2 0.7500 0.2500 0.5000  4 Pb 3.20, 2 Sr 3.36



A plane-wave DFT calculation with PBE-GGA was carried out for a geometry-optimized NaSm8Se12 structure.

Computed properties:
The uncorrected formation energy comes out at -1828 meV per atom. For the total magnetic moment, the calculation gives 0.0 Bohr magnetons per cell. For the total energy, the calculation gives -119.28 eV/f.u.

Cell: 8.8501 8.8501 14.7349 Å, 107.48 107.48 90.00°
Last column: nearest neighbours and their distance in Å.
Positions (direct):
Na1 0.5000 0.5000 0.0000  8 Se 2.99-3.26
Na2 0.7500 0.2500 0.5000  8 Se 2.99-3.26
Sm1 0.8331 0.7057 0.9197  8 Se 2.93-3.21
Sm2 0.0865 0.2139 0.9197  8 Se 2.93-3.21
Sm3 0.7861 0.1669 0.0803  8 Se 2.93-3.21
Sm4 0.0828 0.5828 0.1656  8 Se 2.95-3.17
Sm5 0.5079 0.3750 0.2500  8 Se 2.96-3.23
Sm6 0.2943 0.9135 0.0803  8 Se 2.93-3.21
Sm7 0.7421 0.8750 0.2500  8 Se 2.96-3.23
Sm8 0.1672 0.1672 0.3344  8 Se 2.95-3.17
Sm9 0.4639 0.8365 0.4197  8 Se 2.93-3.21
Sm10 0.1635 0.0443 0.5803  8 Se 2.93-3.21
Sm11 0.9557 0.5831 0.4197  8 Se 2.93-3.21
Sm12 0.4169 0.5361 0.5803  8 Se 2.93-3.21
Sm13 0.8328 0.8328 0.6656  8 Se 2.95-3.17
Sm14 0.1250 0.4921 0.7500  8 Se 2.96-3.23
Sm15 0.4172 0.9172 0.8344  8 Se 2.95-3.17
Sm16 0.6250 0.2579 0.7500  8 Se 2.96-3.23
Se1 0.5939 0.8410 0.0327  5 Sm 2.96-3.14, 1 Na 2.99
Se2 0.8083 0.4061 0.9673  5 Sm 2.96-3.14, 1 Na 2.99
Se3 0.1590 0.5612 0.9673  5 Sm 2.96-3.14, 1 Na 2.99
Se4 0.7845 0.5313 0.2072  5 Sm 2.93-3.21, 1 Na 3.26
Se5 0.4227 0.6760 0.2072  5 Sm 2.93-3.21, 1 Na 3.26
Se6 0.9947 0.8903 0.1331  6 Sm 2.97-3.23
Se7 0.4388 0.1917 0.0327  5 Sm 2.96-3.14, 1 Na 2.99
Se8 0.1384 0.2428 0.1331  6 Sm 2.97-3.23
Se9 0.2553 0.5072 0.3669  6 Sm 2.97-3.23
Se10 0.4655 0.0740 0.2928  5 Sm 2.93-3.21, 1 Na 3.26
Se11 0.8273 0.2187 0.2928  5 Sm 2.93-3.21, 1 Na 3.26
Se12 0.4417 0.1888 0.5327  5 Sm 2.96-3.14, 1 Na 2.99
Se13 0.0910 0.3439 0.5327  5 Sm 2.96-3.14, 1 Na 2.99
Se14 0.6561 0.5583 0.4673  5 Sm 2.96-3.14, 1 Na 2.99
Se15 0.1116 0.8597 0.3669  6 Sm 2.97-3.23
Se16 0.8112 0.9090 0.4673  5 Sm 2.96-3.14, 1 Na 2.99
Se17 0.9260 0.1727 0.7072  5 Sm 2.93-3.21, 1 Na 3.26
Se18 0.1403 0.7447 0.6331  6 Sm 2.97-3.23
Se19 0.4928 0.8884 0.6331  6 Sm 2.97-3.23
Se20 0.1097 0.8616 0.8669  6 Sm 2.97-3.23
Se21 0.7572 0.0053 0.8669  6 Sm 2.97-3.23
Se22 0.3240 0.2155 0.7928  5 Sm 2.93-3.21, 1 Na 3.26
Se23 0.7813 0.5345 0.7072  5 Sm 2.93-3.21, 1 Na 3.26
Se24 0.4687 0.5773 0.7928  5 Sm 2.93-3.21, 1 Na 3.26



A plane-wave DFT calculation with PBE-GGA was carried out for a geometry-optimized Na5B7C3 structure.

Computed properties:
The value obtained for the formation energy is 0.1365 eV per atom. For the total magnetic moment, the calculation gives 0.0 Bohr magnetons per cell. For the total energy, the calculation gives -78.96 eV/f.u. The value obtained for the excess energy over the best structure of this formula in the dataset is 24 meV per atom.

Cell: 7.8485 7.6284 10.4215 Å, 122.17 122.27 37.12°
Last column: nearest neighbours and their distance in Å.
Positions (direct):
Na1 0.9984 0.9995 0.9981  9 B 2.62-2.82, 3 C 2.71-2.75, 4 Na 2.80-2.94
Na2 0.8000 0.8000 0.5000  10 B 2.65-2.82, 2 C 2.72, 6 Na 2.79-2.96
Na3 0.2037 0.1972 0.9985  8 B 2.65-2.92, 4 C 2.68-2.83, 6 Na 2.80-2.96
Na4 0.0013 0.9964 0.4974  5 C 2.65-2.74, 7 B 2.68-2.74, 6 Na 2.81-2.93
Na5 0.3963 0.4028 0.0015  8 B 2.65-2.92, 4 C 2.68-2.83, 6 Na 2.80-2.96
Na6 0.1938 0.2039 0.4997  9 B 2.65-2.93, 3 C 2.70-2.81, 6 Na 2.79-2.97
Na7 0.6016 0.6005 0.0019  9 B 2.62-2.82, 3 C 2.71-2.75, 4 Na 2.80-2.94
Na8 0.4062 0.3961 0.5003  9 B 2.65-2.93, 3 C 2.70-2.81, 6 Na 2.79-2.97
Na9 0.8000 0.8000 0.0000  4 C 2.67-2.78, 8 B 2.71-2.77, 6 Na 2.82-2.93
Na10 0.5987 0.6036 0.5026  5 C 2.65-2.74, 7 B 2.68-2.74, 6 Na 2.81-2.93
B1 0.2392 0.5476 0.7507  3 B 1.69-1.84
B2 0.9920 0.6144 0.2493  3 B 1.73-1.78
B3 0.9970 0.3763 0.2492  1 C 1.55, 1 B 1.73
B4 0.1806 0.8330 0.7495  2 C 1.58-1.63
B5 0.2568 0.5542 0.2506  2 C 1.63, 1 B 1.73
B6 0.3432 0.0458 0.7494  2 C 1.63, 1 B 1.73
B7 0.6080 0.9856 0.7507  3 B 1.73-1.78
B8 0.3608 0.0524 0.2493  3 B 1.69-1.84
B9 0.4194 0.7670 0.2505  2 C 1.58-1.63
B10 0.6030 0.2237 0.7508  1 C 1.55, 1 B 1.73
B11 0.6318 0.9747 0.2498  1 C 1.65, 2 B 1.69-1.78
B12 0.7621 0.4383 0.7492  3 C 1.60-1.65
B13 0.8379 0.1617 0.2508  3 C 1.60-1.65
B14 0.9682 0.6253 0.7502  1 C 1.65, 2 B 1.69-1.78
C1 0.4282 0.7682 0.7488  3 B 1.58-1.64
C2 0.1718 0.8318 0.2512  3 B 1.58-1.64
C3 0.8460 0.1594 0.7499  3 B 1.55-1.65
C4 0.5881 0.2254 0.2510  3 B 1.60-1.65
C5 0.0119 0.3746 0.7490  3 B 1.60-1.65
C6 0.7540 0.4406 0.2501  3 B 1.55-1.65



A plane-wave DFT calculation with PBE-GGA was carried out for a geometry-optimized Ce4Ga2Co structure.

Computed properties:
The value obtained for the formation energy is -0.3151 eV per atom. For the total magnetic moment, the calculation gives 0.0 Bohr magnetons per cell. For the total energy, the calculation gives -39.10 eV/f.u.

Cell: 4.4114 4.9945 7.5758 Å, 103.49 106.93 90.00°
Last column: nearest neighbours and their distance in Å.
Positions (direct):
Ce1 0.9044 0.4050 0.8088  3 Ce 2.70-2.89, 2 Co 2.72-2.96
Ce2 0.0956 0.5950 0.1912  3 Ce 2.70-2.89, 2 Co 2.72-2.96
Ce3 0.6093 0.2323 0.2186  2 Co 2.80, 2 Ce 2.89, 2 Ga 3.11
Ce4 0.3907 0.7677 0.7814  2 Co 2.80, 2 Ce 2.89, 2 Ga 3.11
Ga1 0.7455 0.8266 0.4909  2 Ga 2.79, 4 Ce 3.11
Ga2 0.2545 0.1734 0.5091  2 Ga 2.79, 4 Ce 3.11
Co1 0.0000 0.0000 0.0000  8 Ce 2.72-2.96



A plane-wave DFT calculation with PBE-GGA was carried out for a geometry-optimized Ni6GeRh structure.

Computed properties:
The value obtained for the formation energy is -0.1029 eV per atom. For the total magnetic moment, the calculation gives 1.6 Bohr magnetons per cell. For the total energy, the calculation gives -47.48 eV/f.u.

Cell: 3.6149 4.4087 6.6945 Å, 76.93 74.34 65.80°
Last column: nearest neighbours and their distance in Å.
Positions (direct):
Ni1 0.2484 0.8742 0.6290  1 Ge 2.51, 8 Ni 2.53-2.57, 3 Rh 2.54-2.56
Ni2 0.5020 0.2432 0.7529  8 Ni 2.52-2.57, 2 Ge 2.52, 2 Rh 2.56
Ni3 0.2492 0.3784 0.1231  8 Ni 2.52-2.56, 3 Ge 2.52-2.56, 1 Rh 2.54
Ni4 0.4980 0.7568 0.2471  8 Ni 2.52-2.57, 2 Ge 2.52, 2 Rh 2.56
Ni5 0.7516 0.1258 0.3710  1 Ge 2.51, 8 Ni 2.53-2.57, 3 Rh 2.54-2.56
Ni6 0.7508 0.6216 0.8769  8 Ni 2.52-2.56, 3 Ge 2.52-2.56, 1 Rh 2.54
Ge1 0.0000 0.0000 0.0000  12 Ni 2.51-2.56
Rh1 0.0000 0.5000 0.5000  12 Ni 2.54-2.56